Record 1
{
  "formula": "LiAcTc",
  "functional": "PBE-GGA",
  "state": "relaxed",
  "lattice_angstrom": [[11.113, 0.000, 0.000], [0.000, 4.173, 0.000], [0.000, 0.000, 6.692]],
  "species": ["Li", "Li", "Li", "Li", "Ac", "Ac", "Ac", "Ac", "Tc", "Tc", "Tc", "Tc"],
  "frac_coords": [[0.012, 0.250, 0.146], [0.488, 0.750, 0.646], [0.512, 0.250, 0.354], [0.988, 0.750, 0.854], [0.221, 0.250, 0.697], [0.279, 0.750, 0.197], [0.721, 0.250, 0.803], [0.779, 0.750, 0.303], [0.043, 0.750, 0.447], [0.457, 0.250, 0.947], [0.543, 0.750, 0.053], [0.957, 0.250, 0.553]],
  "formation_enthalpy_0k_ev_per_atom": 0.206,
  "n_ef_per_ev_atom": 0.778
}

---

Record 2
{
  "formula": "LiAc2Tc",
  "functional": "PBE-GGA",
  "state": "relaxed",
  "lattice_angstrom": [[3.725, 0.000, 0.000], [0.000, 3.725, 0.000], [0.000, 0.000, 8.660]],
  "species": ["Li", "Ac", "Ac", "Tc"],
  "frac_coords": [[0.000, 0.000, 0.000], [0.500, 0.500, 0.293], [0.500, 0.500, 0.707], [0.000, 0.000, 0.500]],
  "relative_energy_ev_per_fu": 0.010,
  "formation_enthalpy_0k_ev_per_atom": 0.194,
  "n_ef_per_ev_atom": 0.629
}

---

Record 3
{
  "formula": "LiAc2Tc",
  "functional": "PBE-GGA",
  "state": "relaxed",
  "lattice_angstrom": [[1.784, 1.030, 11.338], [-1.784, 1.030, 11.338], [0.000, -2.060, 11.338]],
  "species": ["Li", "Ac", "Ac", "Tc"],
  "frac_coords": [[0.000, 0.000, 0.000], [0.422, 0.422, 0.422], [0.578, 0.578, 0.578], [0.500, 0.500, 0.500]],
  "relative_energy_ev_per_fu": 2.741,
  "formation_enthalpy_0k_ev_per_atom": 0.877,
  "n_ef_per_ev_atom": 1.006
}

---

Record 4
{
  "formula": "LiAcThTc",
  "functional": "PBE-GGA",
  "state": "relaxed",
  "lattice_angstrom": [[0.000, 3.696, 3.696], [3.696, 0.000, 3.696], [3.696, 3.696, 0.000]],
  "species": ["Li", "Ac", "Th", "Tc"],
  "frac_coords": [[0.000, 0.000, 0.000], [0.250, 0.250, 0.250], [0.750, 0.750, 0.750], [0.500, 0.500, 0.500]],
  "formation_enthalpy_0k_ev_per_atom": 0.142,
  "n_ef_per_ev_atom": 0.955
}

---

Record 5
{
  "formula": "Li5AcTe4",
  "functional": "PBE-GGA",
  "state": "relaxed",
  "lattice_angstrom": [[-2.293, 4.183, 7.612], [2.293, -4.183, 7.612], [2.293, 4.183, -7.612]],
  "species": ["Li", "Li", "Li", "Li", "Li", "Ac", "Te", "Te", "Te", "Te"],
  "frac_coords": [[0.000, 0.000, 0.000], [0.119, 0.318, 0.800], [0.482, 0.682, 0.800], [0.518, 0.318, 0.200], [0.881, 0.682, 0.200], [0.500, 0.000, 0.500], [0.223, 0.500, 0.723], [0.278, 0.778, 0.500], [0.722, 0.222, 0.500], [0.777, 0.500, 0.277]],
  "raw_formation_energy_ev_per_atom": -1.1219,
  "n_ef_per_ev_atom": 0.000
}

---

Record 6
{
  "formula": "LiAc2Te3",
  "functional": "PBE-GGA",
  "state": "relaxed",
  "lattice_angstrom": [[-2.196, 2.585, 9.040], [2.196, -2.585, 9.040], [2.196, 2.585, -9.040]],
  "species": ["Li", "Ac", "Ac", "Te", "Te", "Te"],
  "frac_coords": [[0.000, 0.000, 0.000], [0.359, 0.359, 0.000], [0.641, 0.641, 0.000], [0.172, 0.172, 0.000], [0.500, 0.000, 0.500], [0.828, 0.828, 0.000]],
  "relative_energy_ev_per_fu": 0.176,
  "raw_formation_energy_ev_per_atom": -1.3992,
  "n_ef_per_ev_atom": 0.293
}

---

Record 7
{
  "formula": "LiAc4Te4",
  "functional": "PBE-GGA",
  "state": "relaxed",
  "lattice_angstrom": [[9.626, 0.000, 0.000], [0.000, 9.626, 0.000], [0.000, 0.000, 6.673]],
  "species": ["Li", "Li", "Ac", "Ac", "Ac", "Ac", "Ac", "Ac", "Ac", "Ac", "Te", "Te", "Te", "Te", "Te", "Te", "Te", "Te"],
  "frac_coords": [[0.250, 0.750, 0.250], [0.750, 0.250, 0.750], [0.035, 0.250, 0.019], [0.250, 0.035, 0.519], [0.250, 0.465, 0.519], [0.465, 0.250, 0.019], [0.535, 0.750, 0.981], [0.750, 0.535, 0.481], [0.750, 0.965, 0.481], [0.965, 0.750, 0.981], [0.026, 0.750, 0.487], [0.250, 0.526, 0.013], [0.250, 0.974, 0.013], [0.474, 0.750, 0.487], [0.526, 0.250, 0.513], [0.750, 0.026, 0.987], [0.750, 0.474, 0.987], [0.974, 0.250, 0.513]],
  "raw_formation_energy_ev_per_atom": -1.2508,
  "n_ef_per_ev_atom": 0.820
}

---

Record 8
{
  "formula": "LiAcTe2",
  "functional": "PBE-GGA",
  "state": "relaxed",
  "lattice_angstrom": [[5.530, 0.000, 0.000], [0.000, 5.530, 0.000], [0.000, 0.000, 4.057]],
  "species": ["Li", "Ac", "Te", "Te"],
  "frac_coords": [[0.000, 0.000, 0.000], [0.500, 0.500, 0.000], [0.000, 0.500, 0.500], [0.500, 0.000, 0.500]],
  "relative_energy_ev_per_fu": 0.978,
  "raw_formation_energy_ev_per_atom": -1.1413,
  "n_ef_per_ev_atom": 0.278
}

---

Record 9
{
  "formula": "LiAc2Te2",
  "functional": "PBE-GGA",
  "state": "relaxed",
  "lattice_angstrom": [[2.297, -8.264, 0.000], [2.297, 8.264, 0.000], [0.000, 0.000, 8.780]],
  "species": ["Li", "Li", "Ac", "Ac", "Ac", "Ac", "Te", "Te", "Te", "Te"],
  "frac_coords": [[0.080, 0.920, 0.500], [0.920, 0.080, 0.000], [0.273, 0.727, 0.702], [0.446, 0.554, 0.375], [0.554, 0.446, 0.875], [0.727, 0.273, 0.202], [0.066, 0.934, 0.171], [0.352, 0.648, 0.047], [0.648, 0.352, 0.547], [0.934, 0.066, 0.671]],
  "raw_formation_energy_ev_per_atom": -1.0621,
  "n_ef_per_ev_atom": 0.856
}

---

Record 10
{
  "formula": "LiAcTe2",
  "functional": "PBE-GGA",
  "state": "relaxed",
  "lattice_angstrom": [[2.324, 1.342, 7.782], [-2.324, 1.342, 7.782], [0.000, -2.683, 7.782]],
  "species": ["Li", "Ac", "Te", "Te"],
  "frac_coords": [[0.000, 0.000, 0.000], [0.815, 0.815, 0.815], [0.230, 0.230, 0.230], [0.395, 0.395, 0.395]],
  "relative_energy_ev_per_fu": 0.410,
  "raw_formation_energy_ev_per_atom": -1.2832
}

---

Record 11
{
  "formula": "LiAc2Te",
  "functional": "PBE-GGA",
  "state": "relaxed",
  "lattice_angstrom": [[5.720, 0.000, 0.000], [0.000, 5.720, 0.000], [0.000, 0.000, 4.054]],
  "species": ["Li", "Ac", "Ac", "Te"],
  "frac_coords": [[0.000, 0.000, 0.000], [0.000, 0.500, 0.500], [0.500, 0.000, 0.500], [0.500, 0.500, 0.000]],
  "relative_energy_ev_per_fu": 0.000,
  "raw_formation_energy_ev_per_atom": -0.5939,
  "n_ef_per_ev_atom": 0.903
}

---

Record 12
{
  "formula": "LiAc2Te4",
  "functional": "PBE-GGA",
  "state": "relaxed",
  "lattice_angstrom": [[8.004, 0.000, 0.000], [0.000, 6.457, 0.000], [-2.815, 0.000, 9.058]],
  "species": ["Li", "Li", "Ac", "Ac", "Ac", "Ac", "Te", "Te", "Te", "Te", "Te", "Te", "Te", "Te"],
  "frac_coords": [[0.227, 0.250, 0.182], [0.773, 0.750, 0.818], [0.233, 0.750, 0.434], [0.241, 0.750, 0.935], [0.759, 0.250, 0.065], [0.767, 0.250, 0.566], [0.072, 0.250, 0.892], [0.073, 0.250, 0.395], [0.489, 0.006, 0.745], [0.489, 0.494, 0.745], [0.511, 0.506, 0.255], [0.511, 0.994, 0.255], [0.927, 0.750, 0.605], [0.928, 0.750, 0.108]],
  "raw_formation_energy_ev_per_atom": -1.3636,
  "n_ef_per_ev_atom": 0.177
}

---

Number 1: ρ 7105 kg/m3. Number 2: ρ 7723 kg/m3. Number 3: ρ 7421 kg/m3. Number 4: ρ 9277 kg/m3. Number 5: ρ 4390 kg/m3. Number 6: ρ 6827 kg/m3. Number 7: ρ 7656 kg/m3. Number 8: ρ 6547 kg/m3. Number 9: ρ 7135 kg/m3. Number 10: ρ 5579 kg/m3. Number 11: ρ 7368 kg/m3. Number 12: ρ 6891 kg/m3.